CaAc2Sn | PBE | optimized geometry

Properties
energy	-3.901	eV/atom
energy of formation	-0.345	eV/atom
energy above the most stable polymorph in this dataset	0	kJ/mol of formula units

Geometry as POSCAR:
```
CaAc2Sn
1.0
-1.559 6.040 3.712
-5.374 -4.183 2.513
6.798 -2.668 1.117
Sn Ac Ca
2 4 2
Cartesian
1.450 -0.757 1.840
-1.584 -0.054 5.502
-1.021 -2.961 3.371
-4.910 1.315 4.410
0.887 2.150 3.971
-2.022 0.542 1.816
-2.344 3.935 3.465
-4.588 -2.078 2.760
```

---

CaAcSn2 | PBE | optimized geometry

Properties
energy	-3.946	eV/atom
energy of formation	-0.418	eV/atom

Geometry as POSCAR:
```
CaAcSn2
1.0
-2.461 -2.297 1.721
-2.516 -1.946 -2.043
5.200 -9.398 -0.952
Ca Ac Sn
1 1 2
Cartesian
0.000 0.000 0.000
0.111 -6.820 -0.638
-0.043 -3.295 -0.307
0.265 -10.345 -0.969
```

---

Ca2Ac5Sn4 | PBE | optimized geometry

Properties
energy	-4.117	eV/atom
energy of formation	-0.430	eV/atom

Geometry as POSCAR:
```
Ca2Ac5Sn4
1.0
4.861 0.000 0.000
0.000 8.091 -0.589
-2.430 -3.255 11.320
Ac Ca Sn
5 2 4
Cartesian
2.430 -1.591 7.582
2.430 0.000 0.000
2.430 2.662 7.275
0.000 2.174 3.456
0.000 6.427 3.149
2.430 4.154 1.280
0.000 0.682 9.451
0.000 0.458 6.358
2.430 4.378 4.373
2.430 -0.834 11.141
0.000 5.670 -0.410
```

---

Ca2Ac3Sn2 | PBE | optimized geometry

Properties
energy	-3.865	eV/atom
energy of formation	-0.389	eV/atom

Geometry as POSCAR:
```
Ca2Ac3Sn2
1.0
4.726 0.000 0.000
-2.363 6.622 0.014
0.000 -3.018 8.690
Ca Sn Ac
2 2 3
Cartesian
2.363 3.986 1.683
0.000 -0.382 7.021
2.363 1.841 6.994
0.000 1.762 1.710
2.363 0.000 0.000
2.363 0.370 3.815
0.000 3.234 4.889
```